1.
! NaTi3O GGA-PBE optimized geometry; values from VASP
&SYSTEM
  ibrav = 0, nat = 5, ntyp = 3
/
ATOMIC_SPECIES
Na 22.99 Na.upf
O 16.00 O.upf
Ti 47.87 Ti.upf
CELL_PARAMETERS angstrom
4.706 0.000 0.000
0.000 4.706 0.000
0.000 0.000 4.706
ATOMIC_POSITIONS crystal
Na 0.000 0.000 0.000
O 0.500 0.500 0.500
Ti 0.000 0.500 0.000
Ti 0.000 0.000 0.500
Ti 0.500 0.000 0.000
! DOS at the Fermi energy	0.866	states/eV per atom
! energy above the most stable polymorph in this dataset	2.535	eV/atom
! E_form (uncorrected)	1.97	eV per atom
! crystal system	cubic
! space group	Pm-3m (221)

2.
! Na4Ti5O12 GGA-PBE optimized geometry; values from VASP
&SYSTEM
  ibrav = 0, nat = 42, ntyp = 3
/
ATOMIC_SPECIES
Na 22.99 Na.upf
Ti 47.87 Ti.upf
O 16.00 O.upf
CELL_PARAMETERS angstrom
-4.913 -1.617 -2.938
1.335 -6.193 1.178
-6.038 2.374 11.794
ATOMIC_POSITIONS crystal
Na 0.221 0.589 0.883
Na 0.701 0.671 0.801
Na 0.157 0.413 0.626
Na 0.654 0.397 0.613
Na 0.843 0.587 0.374
Na 0.346 0.603 0.387
Na 0.299 0.329 0.199
Na 0.779 0.411 0.117
Ti 0.748 0.977 0.991
Ti 0.252 0.023 0.009
Ti 0.951 0.162 0.811
Ti 0.454 0.162 0.810
Ti 0.648 0.900 0.584
Ti 0.147 0.903 0.589
Ti 0.853 0.097 0.411
Ti 0.352 0.100 0.416
Ti 0.049 0.838 0.189
Ti 0.546 0.838 0.190
O 0.727 0.222 0.909
O 0.227 0.227 0.907
O 0.976 0.874 0.915
O 0.482 0.874 0.916
O 0.938 0.400 0.761
O 0.442 0.400 0.761
O 0.183 0.013 0.729
O 0.682 0.006 0.730
O 0.897 0.713 0.592
O 0.399 0.713 0.590
O 0.891 0.114 0.563
O 0.391 0.116 0.564
O 0.109 0.886 0.437
O 0.609 0.884 0.436
O 0.601 0.287 0.410
O 0.103 0.287 0.408
O 0.318 0.994 0.270
O 0.817 0.987 0.271
O 0.062 0.600 0.239
O 0.558 0.600 0.239
O 0.024 0.126 0.085
O 0.518 0.126 0.084
O 0.773 0.773 0.093
O 0.273 0.778 0.091
! DOS at the Fermi energy	0.000	states/eV per atom
! energy above the most stable polymorph in this dataset	0.010	eV/atom
! E_form (uncorrected)	-2.70	eV per atom
! crystal system	triclinic
! space group	P-1 (2)

3.
! NaTi6O12 GGA-PBE optimized geometry; values from VASP
&SYSTEM
  ibrav = 0, nat = 38, ntyp = 3
/
ATOMIC_SPECIES
Na 22.99 Na.upf
Ti 47.87 Ti.upf
O 16.00 O.upf
CELL_PARAMETERS angstrom
-4.677 -1.924 -1.674
3.286 -0.758 -8.307
2.911 -8.775 1.952
ATOMIC_POSITIONS crystal
Na 0.544 0.500 0.719
Na 0.044 0.000 0.281
Ti 0.965 0.170 0.889
Ti 0.976 0.500 0.906
Ti 0.965 0.830 0.889
Ti 0.533 0.831 0.397
Ti 0.543 0.500 0.383
Ti 0.533 0.169 0.397
Ti 0.465 0.670 0.111
Ti 0.476 0.000 0.094
Ti 0.465 0.330 0.111
Ti 0.043 0.000 0.617
Ti 0.033 0.669 0.603
Ti 0.033 0.331 0.603
O 0.836 0.836 0.515
O 0.820 0.500 0.523
O 0.836 0.164 0.515
O 0.818 0.670 0.787
O 0.818 0.330 0.787
O 0.823 0.000 0.789
O 0.685 0.669 0.287
O 0.685 0.331 0.287
O 0.658 0.000 0.284
O 0.675 0.833 0.021
O 0.675 0.167 0.021
O 0.671 0.500 0.016
O 0.336 0.664 0.485
O 0.320 0.000 0.477
O 0.336 0.336 0.485
O 0.318 0.170 0.213
O 0.318 0.830 0.213
O 0.323 0.500 0.211
O 0.185 0.169 0.713
O 0.158 0.500 0.716
O 0.185 0.831 0.713
O 0.171 0.000 0.984
O 0.175 0.667 0.979
O 0.175 0.333 0.979
! DOS at the Fermi energy	0.375	states/eV per atom
! energy above the most stable polymorph in this dataset	0.010	eV/atom
! E_form (uncorrected)	-2.87	eV per atom
! crystal system	orthorhombic
! space group	Pmn2_1 (31)

4.
! NaTi2O4 GGA-PBE optimized geometry; values from VASP
&SYSTEM
  ibrav = 0, nat = 28, ntyp = 3
/
ATOMIC_SPECIES
Na 22.99 Na.upf
Ti 47.87 Ti.upf
O 16.00 O.upf
CELL_PARAMETERS angstrom
-7.256 3.239 2.236
-2.795 -8.739 3.591
1.495 0.950 3.476
ATOMIC_POSITIONS crystal
Na 0.967 0.370 0.750
Na 0.467 0.130 0.750
Na 0.533 0.870 0.250
Na 0.033 0.630 0.250
Ti 0.369 0.471 0.250
Ti 0.675 0.273 0.250
Ti 0.131 0.971 0.750
Ti 0.825 0.773 0.750
Ti 0.325 0.727 0.750
Ti 0.631 0.529 0.750
Ti 0.175 0.227 0.250
Ti 0.869 0.029 0.250
O 0.827 0.817 0.250
O 0.141 0.415 0.250
O 0.409 0.275 0.250
O 0.627 0.488 0.250
O 0.859 0.585 0.750
O 0.091 0.775 0.750
O 0.673 0.317 0.750
O 0.373 0.512 0.750
O 0.591 0.725 0.750
O 0.173 0.183 0.750
O 0.873 0.988 0.750
O 0.359 0.915 0.750
O 0.327 0.683 0.250
O 0.641 0.085 0.250
O 0.909 0.225 0.250
O 0.127 0.012 0.250
! DOS at the Fermi energy	0.332	states/eV per atom
! energy above the most stable polymorph in this dataset	0.013	eV/atom
! E_form (uncorrected)	-2.73	eV per atom
! crystal system	orthorhombic
! space group	Pnma (62)

5.
! NaTi3O6 GGA-PBE optimized geometry; values from VASP
&SYSTEM
  ibrav = 0, nat = 20, ntyp = 3
/
ATOMIC_SPECIES
Na 22.99 Na.upf
Ti 47.87 Ti.upf
O 16.00 O.upf
CELL_PARAMETERS angstrom
5.239 0.000 0.000
0.000 6.641 -2.446
0.000 -0.782 7.034
ATOMIC_POSITIONS crystal
Na 0.993 0.195 0.805
Na 0.493 0.805 0.195
Ti 0.509 0.871 0.745
Ti 0.009 0.745 0.871
Ti 0.458 0.344 0.656
Ti 0.958 0.656 0.344
Ti 0.009 0.129 0.255
Ti 0.509 0.255 0.129
O 0.170 0.762 0.618
O 0.670 0.618 0.762
O 0.197 0.514 0.834
O 0.697 0.834 0.514
O 0.285 0.981 0.019
O 0.498 0.191 0.809
O 0.998 0.809 0.191
O 0.785 0.019 0.981
O 0.197 0.166 0.486
O 0.697 0.486 0.166
O 0.170 0.382 0.238
O 0.670 0.238 0.382
! DOS at the Fermi energy	0.356	states/eV per atom
! E_form (uncorrected)	-2.74	eV per atom
! crystal system	orthorhombic
! space group	Cmc2_1 (36)

6.
! NaTi4O6 GGA-PBE optimized geometry; values from VASP
&SYSTEM
  ibrav = 0, nat = 22, ntyp = 3
/
ATOMIC_SPECIES
Na 22.99 Na.upf
Ti 47.87 Ti.upf
O 16.00 O.upf
CELL_PARAMETERS angstrom
2.988 0.000 0.000
-1.494 4.968 0.000
0.000 0.000 15.404
ATOMIC_POSITIONS crystal
Na 0.653 0.307 0.250
Na 0.347 0.693 0.750
Ti 0.850 0.699 0.540
Ti 0.400 0.800 0.134
Ti 0.150 0.301 0.460
Ti 0.600 0.200 0.866
Ti 0.850 0.699 0.960
Ti 0.150 0.301 0.040
Ti 0.600 0.200 0.634
Ti 0.400 0.800 0.366
O 0.500 0.000 0.000
O 0.500 0.000 0.500
O 0.034 0.068 0.350
O 0.966 0.932 0.650
O 0.966 0.932 0.850
O 0.034 0.068 0.150
O 0.771 0.543 0.408
O 0.229 0.457 0.592
O 0.229 0.457 0.908
O 0.771 0.543 0.092
O 0.339 0.678 0.250
O 0.661 0.322 0.750
! DOS at the Fermi energy	0.275	states/eV per atom
! E_form (uncorrected)	-2.63	eV per atom
! crystal system	orthorhombic
! space group	Cmcm (63)

7.
! Na2Ti12O25 GGA-PBE optimized geometry; values from VASP
&SYSTEM
  ibrav = 0, nat = 39, ntyp = 3
/
ATOMIC_SPECIES
Na 22.99 Na.upf
Ti 47.87 Ti.upf
O 16.00 O.upf
CELL_PARAMETERS angstrom
-2.309 -1.579 2.508
7.214 -4.821 3.607
5.613 8.463 10.497
ATOMIC_POSITIONS crystal
Na 0.500 0.289 0.961
Na 0.500 0.711 0.039
Ti 0.500 0.364 0.594
Ti 0.500 0.636 0.406
Ti 0.000 0.993 0.875
Ti 0.000 0.007 0.125
Ti 0.500 0.317 0.354
Ti 0.500 0.683 0.646
Ti 0.500 0.030 0.296
Ti 0.500 0.970 0.704
Ti 0.000 0.398 0.760
Ti 0.000 0.602 0.240
Ti 0.000 0.687 0.825
Ti 0.000 0.313 0.175
O 0.000 0.482 0.866
O 0.000 0.518 0.134
O 0.000 0.376 0.623
O 0.000 0.624 0.377
O 0.500 0.281 0.216
O 0.500 0.719 0.784
O 0.500 0.161 0.639
O 0.500 0.839 0.361
O 0.000 0.763 0.925
O 0.000 0.237 0.075
O 0.500 0.009 0.156
O 0.500 0.991 0.844
O 0.500 0.434 0.723
O 0.500 0.566 0.277
O 0.500 0.392 0.462
O 0.500 0.608 0.538
O 0.000 0.930 0.743
O 0.000 0.070 0.257
O 0.500 0.120 0.396
O 0.500 0.880 0.604
O 0.000 0.210 0.829
O 0.000 0.790 0.171
O 0.000 0.644 0.683
O 0.000 0.356 0.317
O 0.000 0.000 0.000
! DOS at the Fermi energy	0.000	states/eV per atom
! energy above the most stable polymorph in this dataset	0.003	eV/atom
! E_form (uncorrected)	-2.94	eV per atom
! crystal system	monoclinic
! space group	P2/m (10)

8.
! Na3TiO6 GGA-PBE optimized geometry; values from VASP
&SYSTEM
  ibrav = 0, nat = 10, ntyp = 3
/
ATOMIC_SPECIES
Na 22.99 Na.upf
Ti 47.87 Ti.upf
O 16.00 O.upf
CELL_PARAMETERS angstrom
5.575 -5.904 0.000
5.575 5.904 0.000
0.000 0.000 8.206
ATOMIC_POSITIONS crystal
Na 0.000 0.000 0.500
Na 0.500 0.000 0.000
Na 0.000 0.500 0.000
Ti 0.000 0.000 0.000
O 0.000 0.000 0.236
O 0.000 0.000 0.764
O 0.235 0.974 0.000
O 0.765 0.026 0.000
O 0.974 0.235 0.000
O 0.026 0.765 0.000
! DOS at the Fermi energy	0.860	states/eV per atom
! E_form (uncorrected)	-0.91	eV per atom
! crystal system	orthorhombic
! space group	Cmmm (65)

9.
! Na7Ti13O26 GGA-PBE optimized geometry; values from VASP
&SYSTEM
  ibrav = 0, nat = 46, ntyp = 3
/
ATOMIC_SPECIES
Na 22.99 Na.upf
Ti 47.87 Ti.upf
O 16.00 O.upf
CELL_PARAMETERS angstrom
5.154 -0.006 -0.012
1.687 10.626 0.025
0.790 4.716 10.360
ATOMIC_POSITIONS crystal
Na 0.416 0.808 0.845
Na 0.678 0.886 0.308
Na 0.322 0.114 0.692
Na 0.584 0.192 0.155
Na 0.267 0.421 0.539
Na 0.733 0.579 0.461
Na 0.500 0.500 0.000
Ti 0.813 0.766 0.625
Ti 0.572 0.692 0.157
Ti 0.034 0.845 0.076
Ti 0.271 0.921 0.526
Ti 0.729 0.079 0.474
Ti 0.500 0.000 0.000
Ti 0.966 0.155 0.924
Ti 0.428 0.308 0.843
Ti 0.187 0.234 0.375
Ti 0.664 0.384 0.312
Ti 0.881 0.460 0.773
Ti 0.119 0.540 0.227
Ti 0.336 0.616 0.688
O 0.135 0.786 0.697
O 0.268 0.679 0.063
O 0.501 0.755 0.525
O 0.891 0.707 0.243
O 0.189 0.985 0.912
O 0.944 0.910 0.457
O 0.571 0.939 0.627
O 0.359 0.861 0.161
O 0.718 0.832 0.992
O 0.056 0.090 0.543
O 0.811 0.015 0.088
O 0.641 0.139 0.839
O 0.429 0.061 0.373
O 0.865 0.214 0.303
O 0.282 0.168 0.008
O 0.109 0.293 0.757
O 0.499 0.245 0.475
O 0.209 0.475 0.852
O 0.569 0.449 0.677
O 0.347 0.370 0.218
O 0.732 0.321 0.937
O 0.975 0.401 0.397
O 0.025 0.599 0.603
O 0.653 0.630 0.782
O 0.431 0.551 0.323
O 0.791 0.525 0.148
! DOS at the Fermi energy	0.442	states/eV per atom
! E_form (uncorrected)	-2.70	eV per atom
! crystal system	triclinic
! space group	P-1 (2)

10.
! Na3TiO GGA-PBE optimized geometry; values from VASP
&SYSTEM
  ibrav = 0, nat = 5, ntyp = 3
/
ATOMIC_SPECIES
Na 22.99 Na.upf
O 16.00 O.upf
Ti 47.87 Ti.upf
CELL_PARAMETERS angstrom
4.781 0.000 0.000
0.000 4.781 0.000
0.000 0.000 4.781
ATOMIC_POSITIONS crystal
Na 0.000 0.500 0.000
Na 0.000 0.000 0.500
Na 0.500 0.000 0.000
O 0.000 0.000 0.000
Ti 0.500 0.500 0.500
! DOS at the Fermi energy	2.632	states/eV per atom
! energy above the most stable polymorph in this dataset	0.000	eV/atom
! E_form (uncorrected)	0.08	eV per atom
! crystal system	cubic
! space group	Pm-3m (221)

11.
! Na2Ti7O15 GGA-PBE optimized geometry; values from VASP
&SYSTEM
  ibrav = 0, nat = 96, ntyp = 3
/
ATOMIC_SPECIES
Na 22.99 Na.upf
Ti 47.87 Ti.upf
O 16.00 O.upf
CELL_PARAMETERS angstrom
7.521 0.004 0.000
-1.876 7.658 -0.061
-0.002 -2.358 21.343
ATOMIC_POSITIONS crystal
Na 0.264 0.063 0.605
Na 0.765 0.063 0.594
Na 0.748 0.991 0.988
Na 0.252 0.009 0.012
Na 0.779 0.121 0.180
Na 0.221 0.879 0.820
Na 0.736 0.937 0.395
Na 0.235 0.937 0.406
Ti 0.551 0.199 0.756
Ti 0.049 0.200 0.755
Ti 0.073 0.284 0.900
Ti 0.571 0.286 0.900
Ti 0.062 0.248 0.326
Ti 0.562 0.248 0.327
Ti 0.584 0.335 0.473
Ti 0.084 0.335 0.472
Ti 0.379 0.513 0.813
Ti 0.878 0.513 0.813
Ti 0.110 0.442 0.616
Ti 0.611 0.442 0.616
Ti 0.904 0.610 0.957
Ti 0.401 0.610 0.956
Ti 0.599 0.390 0.044
Ti 0.096 0.390 0.043
Ti 0.389 0.558 0.384
Ti 0.890 0.558 0.384
Ti 0.621 0.487 0.187
Ti 0.122 0.487 0.187
Ti 0.416 0.665 0.527
Ti 0.916 0.665 0.528
Ti 0.438 0.752 0.673
Ti 0.938 0.752 0.674
Ti 0.429 0.714 0.100
Ti 0.927 0.716 0.100
Ti 0.449 0.801 0.244
Ti 0.951 0.800 0.245
O 0.511 0.107 0.840
O 0.043 0.103 0.841
O 0.050 0.195 0.980
O 0.548 0.196 0.979
O 0.993 0.023 0.286
O 0.518 0.022 0.286
O 0.814 0.257 0.766
O 0.317 0.267 0.765
O 0.536 0.151 0.411
O 0.040 0.151 0.411
O 0.341 0.364 0.902
O 0.839 0.356 0.901
O 0.564 0.248 0.549
O 0.061 0.249 0.549
O 0.076 0.306 0.678
O 0.578 0.307 0.678
O 0.327 0.306 0.334
O 0.826 0.305 0.338
O 0.612 0.448 0.822
O 0.110 0.441 0.822
O 0.352 0.409 0.470
O 0.852 0.409 0.470
O 0.061 0.302 0.118
O 0.590 0.298 0.117
O 0.136 0.543 0.964
O 0.637 0.548 0.961
O 0.601 0.354 0.248
O 0.078 0.359 0.249
O 0.377 0.507 0.610
O 0.876 0.507 0.609
O 0.124 0.493 0.391
O 0.623 0.493 0.390
O 0.922 0.641 0.751
O 0.399 0.646 0.752
O 0.363 0.452 0.039
O 0.864 0.457 0.036
O 0.939 0.698 0.882
O 0.410 0.702 0.883
O 0.648 0.591 0.530
O 0.148 0.591 0.530
O 0.890 0.559 0.178
O 0.388 0.552 0.178
O 0.673 0.694 0.666
O 0.174 0.695 0.662
O 0.422 0.693 0.322
O 0.924 0.694 0.322
O 0.436 0.752 0.451
O 0.939 0.751 0.451
O 0.161 0.644 0.099
O 0.659 0.636 0.098
O 0.960 0.849 0.589
O 0.464 0.849 0.589
O 0.186 0.743 0.234
O 0.683 0.733 0.235
O 0.482 0.978 0.714
O 0.007 0.977 0.714
O 0.452 0.804 0.021
O 0.950 0.805 0.020
O 0.957 0.897 0.159
O 0.489 0.893 0.160
! DOS at the Fermi energy	0.000	states/eV per atom
! E_form (uncorrected)	-2.89	eV per atom
! crystal system	triclinic
! space group	P-1 (2)